Entry 1:
Entry from the Alexandria database: a relaxed structure of TaMnTl2 (PBE).

Cell: 4.1412 4.1412 9.4965 Å, 90.00 90.00 90.00°
Space group I-4m2 (No. 119)
Symmetry-distinct sites (fractional):
Ta1 0.0000 0.0000 0.0000
Mn1 0.0000 0.5000 0.2500
Tl1 0.0000 0.0000 0.5000
Tl2 0.0000 0.5000 0.7500

Results
energy of formation	0.66	eV per atom
DFT total energy	-5.77	eV per atom
crystal system	tetragonal

---

Entry 2:
Entry from the Alexandria database: a relaxed structure of Ta2MnTl (PBE).

Cell: 2.9804 2.9804 7.9547 Å, 90.00 90.00 90.00°
Space group P4/mmm (No. 123)
Symmetry-distinct sites (fractional):
Ta1 0.0000 0.0000 0.1970
Mn1 0.5000 0.5000 0.0000
Tl1 0.5000 0.5000 0.5000

Results
energy of formation	0.23	eV per atom
DFT total energy	-8.58	eV per atom
crystal system	tetragonal

---

Entry 3:
Entry from the Alexandria database: a relaxed structure of TaMnTl2 (PBE).

Cell: 3.0536 4.1944 6.2658 Å, 90.00 90.00 90.00°
Space group Pmmm (No. 47)
Symmetry-distinct sites (fractional):
Ta1 0.0000 0.0000 0.0000
Mn1 0.0000 0.0000 0.5000
Tl1 0.5000 0.5000 0.2552

Results
energy of formation	0.65	eV per atom
DFT total energy	-5.79	eV per atom
crystal system	orthorhombic

---

Entry 4:
Entry from the Alexandria database: a relaxed structure of Ta2MnTl (PBE).

Cell: 3.9941 3.9941 4.4918 Å, 90.00 90.00 90.00°
Space group P4/mmm (No. 123)
Symmetry-distinct sites (fractional):
Ta1 0.0000 0.5000 0.0000
Mn1 0.0000 0.0000 0.5000
Tl1 0.5000 0.5000 0.5000

Results
energy of formation	0.37	eV per atom
DFT total energy	-8.44	eV per atom
crystal system	tetragonal

---

Entry 5:
Entry from the Alexandria database: a relaxed structure of Ta2MnTl (PBE).

Cell: 5.7246 8.6115 2.9465 Å, 90.00 90.29 90.00°
Space group C2/m (No. 12)
Symmetry-distinct sites (fractional):
Ta1 0.2500 0.2500 0.0000
Mn1 0.0000 0.0000 0.5000
Tl1 0.0000 0.5000 0.5000

Results
energy of formation	0.47	eV per atom
DFT total energy	-8.34	eV per atom
crystal system	monoclinic

---

Entry 6:
Entry from the Alexandria database: a relaxed structure of TaMnTl2 (PBE).

Cell: 3.1621 5.3994 9.7803 Å, 90.00 90.00 90.00°
Space group Cmmm (No. 65)
Symmetry-distinct sites (fractional):
Ta1 0.0000 0.0000 0.0000
Mn1 0.0000 0.0000 0.5000
Tl1 0.0000 0.5000 0.2593

Results
energy of formation	0.61	eV per atom
DFT total energy	-5.83	eV per atom
crystal system	orthorhombic

---

Please write out number 2 again, unchanged.
Entry from the Alexandria database: a relaxed structure of Ta2MnTl (PBE).

Cell: 2.9804 2.9804 7.9547 Å, 90.00 90.00 90.00°
Space group P4/mmm (No. 123)
Symmetry-distinct sites (fractional):
Ta1 0.0000 0.0000 0.1970
Mn1 0.5000 0.5000 0.0000
Tl1 0.5000 0.5000 0.5000

Results
energy of formation	0.23	eV per atom
DFT total energy	-8.58	eV per atom
crystal system	tetragonal

---

Which formula does entry 6 have?
TaMnTl2

---

Number 3 is which compound?
TaMnTl2

---

The lowest DFT total energy belongs to which entry?
number 2